VASP calculation (PBE-GGA) on Tc4NiPb after structural relaxation.

Calculated values
DOS(E_F), states/eV/f.u.: 9.28
Symmetry: F-43m (216)
ΔH_f (0 K), eV/atom: 0.67

Cell lengths 5.1917, 5.1917, 5.1917 Å; angles 60.00, 60.00, 60.00 degrees
Element x y z (fractional)
Tc  0.1236  0.1236  0.1236
Tc  0.1236  0.1236  0.6292
Tc  0.1236  0.6292  0.1236
Tc  0.6292  0.1236  0.1236
Ni  0.7500  0.7500  0.7500
Pb  0.5000  0.5000  0.5000